(1)
Density functional theory data (GGA-PBEsol) for a geometry-optimized Hf3RePd structure.

Values from the calculation:
As for the space group: Pm-3m (221). The calculation puts the formation energy at 1080 meV per atom. The calculation puts the calculated total energy at -9.080 eV/atom.

Cell lengths 4.817, 4.817, 4.817 Å; angles 90.00, 90.00, 90.00 degrees
Fractional positions:
Re 0.500 0.500 0.500
Hf 0.000 0.500 0.000
Hf 0.000 0.000 0.500
Hf 0.500 0.000 0.000
Pd 0.000 0.000 0.000

---

(2)
Density functional theory data (GGA-PBEsol) for a geometry-optimized KPtCl2 structure.

Values from the calculation:
As for the space group: P4/mmm (123). The calculation puts the calculated total energy at -3.351 eV/atom. As for the formation energy without anion corrections: -1.3 eV per formula unit. The calculation puts the energy above the most stable polymorph in this dataset at 0.0000 eV/atom.

Cell lengths 3.226, 4.871, 4.880 Å; angles 90.00, 90.00, 90.00 degrees
Fractional positions:
K 0.500 0.500 0.000
Pt 0.500 0.000 0.500
Cl 0.000 0.000 0.000
Cl 0.000 0.500 0.500

---

(3)
Density functional theory data (GGA-PBEsol) for a geometry-optimized MgSiSb2 structure.

Values from the calculation:
As for the space group: Pmm2 (25). The calculation puts the calculated total energy at -4.063 eV/atom. As for the formation energy without anion corrections: 0.3 eV per formula unit.

Cell lengths 3.702, 3.961, 6.397 Å; angles 90.00, 90.00, 90.00 degrees
Fractional positions:
Sb 0.000 0.000 0.914
Sb 0.500 0.500 0.327
Si 0.000 0.000 0.485
Mg 0.500 0.500 0.773

---

(4)
Density functional theory data (GGA-PBEsol) for a geometry-optimized TaTlAsSe2 structure.

Values from the calculation:
As for the space group: P4/mmm (123). The calculation puts the calculated total energy at -5.777 eV/atom. As for the formation energy without anion corrections: -0.9 eV per formula unit.

Cell lengths 5.020, 5.020, 5.026 Å; angles 90.00, 90.00, 90.00 degrees
Fractional positions:
Tl 0.500 0.500 0.500
As 0.000 0.000 0.500
Se 0.000 0.500 0.000
Se 0.500 0.000 0.000
Ta 0.000 0.000 0.000

---

(5)
Density functional theory data (GGA-PBEsol) for a geometry-optimized Zn2CuAu structure.

Values from the calculation:
As for the space group: P4/mmm (123). The calculation puts the formation energy at -158 meV per atom. The calculation puts the calculated total energy at -3.013 eV/atom.

Cell lengths 3.085, 3.085, 5.819 Å; angles 90.00, 90.00, 90.00 degrees
Fractional positions:
Zn 0.000 0.000 0.727
Zn 0.000 0.000 0.273
Au 0.500 0.500 0.000
Cu 0.500 0.500 0.500

---

(6)
Density functional theory data (GGA-PBEsol) for a geometry-optimized V3B2 structure.

Values from the calculation:
As for the space group: P4/mbm (127). The calculation puts the formation energy at -780 meV per atom. The calculation puts the calculated total energy at -9.367 eV/atom.

Cell lengths 2.980, 5.671, 5.671 Å; angles 90.00, 90.00, 90.00 degrees
Fractional positions:
V 0.000 0.000 0.000
V 0.000 0.500 0.500
V 0.500 0.321 0.821
V 0.500 0.821 0.679
V 0.500 0.179 0.321
V 0.500 0.679 0.179
B 0.000 0.111 0.611
B 0.000 0.611 0.889
B 0.000 0.389 0.111
B 0.000 0.889 0.389